First-principles (PBE) data for crystalline Be2CdP at its relaxed geometry, as listed in Alexandria via LeMat-Bulk.

Cell and atoms, written as extended XYZ:
```
4
Lattice="3.1346 0.0349 0.0000 -1.2707 2.8657 0.0000 0.0000 0.0000 6.7152" Properties=species:S:1:pos:R:3 pbc="T T T"
Be 0.0000 0.0000 6.2757
Cd 0.9319 1.4503 1.6788
P 0.9319 1.4503 5.0364
Be 0.0000 0.0000 3.7971
```

Output
Fermi-level density of states: 2.12 states/eV/f.u.
E above lowest polymorph: 1.60 eV/f.u.
energy relative to the elements: 0.496 eV per atom

***

First-principles (PBE) data for crystalline BeCd2P at its relaxed geometry, as listed in Alexandria via LeMat-Bulk.

Cell and atoms, written as extended XYZ:
```
4
Lattice="3.0298 0.0088 0.0000 -0.8505 2.9080 0.0000 0.0000 0.0000 8.5484" Properties=species:S:1:pos:R:3 pbc="T T T"
Cd 0.0000 0.0000 8.0934
Cd 1.0896 1.4584 2.2564
P 0.0000 0.0000 5.0172
Be 1.0896 1.4584 6.0038
```

Output
Fermi-level density of states: 1.44 states/eV/f.u.
E above lowest polymorph: 1.28 eV/f.u.
energy relative to the elements: 0.273 eV per atom

***

First-principles (PBE) data for crystalline BeCd3P at its relaxed geometry, as listed in Alexandria via LeMat-Bulk.

Cell and atoms, written as extended XYZ:
```
5
Lattice="4.7132 0.0000 0.0000 0.0000 4.7132 0.0000 0.0000 0.0000 4.7132" Properties=species:S:1:pos:R:3 pbc="T T T"
P 2.3566 2.3566 2.3566
Be 0.0000 0.0000 0.0000
Cd 2.3566 0.0000 0.0000
Cd 0.0000 2.3566 0.0000
Cd 0.0000 0.0000 2.3566
```

Output
Fermi-level density of states: 3.46 states/eV/f.u.
E above lowest polymorph: 0.00 eV/f.u.
energy relative to the elements: 0.604 eV per atom

***

First-principles (PBE) data for crystalline Be2CdP at its relaxed geometry, as listed in Alexandria via LeMat-Bulk.

Cell and atoms, written as extended XYZ:
```
4
Lattice="-0.0785 -3.0219 1.6306 2.7611 -1.1096 1.7153 -1.1452 1.4384 5.9218" Properties=species:S:1:pos:R:3 pbc="T T T"
Be 2.4844 -3.8563 3.7762
Be 0.9668 -1.6217 4.2035
P 0.3843 -0.6733 2.3169
Cd 1.1530 -2.0198 6.9508
```

Output
Fermi-level density of states: 1.40 states/eV/f.u.
E above lowest polymorph: 0.37 eV/f.u.
energy relative to the elements: 0.188 eV per atom

***

First-principles (PBE) data for crystalline BeCd2P at its relaxed geometry, as listed in Alexandria via LeMat-Bulk.

Cell and atoms, written as extended XYZ:
```
4
Lattice="5.2227 0.0011 0.0000 2.1114 4.7769 0.0000 -3.6671 -2.3890 2.8499" Properties=species:S:1:pos:R:3 pbc="T T T"
Cd 0.0000 0.0000 0.0000
P 3.6671 2.3890 0.0000
Cd 1.0557 2.3884 1.4250
Be 2.6114 0.0006 1.4250
```

Output
Fermi-level density of states: 1.91 states/eV/f.u.
E above lowest polymorph: 2.28 eV/f.u.
energy relative to the elements: 0.522 eV per atom

***

First-principles (PBE) data for crystalline BeCd2P at its relaxed geometry, as listed in Alexandria via LeMat-Bulk.

Cell and atoms, written as extended XYZ:
```
4
Lattice="-1.0481 2.1567 -1.1826 -3.1305 -1.6469 -0.2289 -1.9387 2.7495 6.7325" Properties=species:S:1:pos:R:3 pbc="T T T"
P -2.5740 0.9423 0.9774
Be -3.5434 2.3170 4.3436
Cd -1.0174 1.4428 3.5330
Cd -1.8907 2.6814 6.5657
```

Output
Fermi-level density of states: 1.29 states/eV/f.u.
E above lowest polymorph: 2.14 eV/f.u.
energy relative to the elements: 0.488 eV per atom